A plane-wave DFT calculation with PBE was carried out for TbPmAl after structural relaxation.

The structure in POSCAR format:
```
TbPmAl
1.0
1.696 -4.421 -1.921
-2.876 -2.614 -3.317
1.386 -0.288 -4.910
Al Pm Tb
1 1 1
direct
0.250 0.250 0.250 Al
0.000 0.000 0.000 Pm
0.750 0.750 0.750 Tb
```

Results
- Total DFT energy (no corrections): -3.8685 eV/atom

A plane-wave DFT calculation with PBE was carried out for PmZrGa after structural relaxation.

The structure in POSCAR format:
```
PmZrGa
1.0
0.000 3.409 3.409
3.409 0.000 3.409
3.409 3.409 0.000
Ga Pm Zr
1 1 1
direct
0.000 0.000 0.000 Ga
0.250 0.250 0.250 Pm
0.750 0.750 0.750 Zr
```

Results
- Relative energy among the computed polymorphs: 0 meV per atom
- Total DFT energy (no corrections): -5.5045 eV/atom

A plane-wave DFT calculation with PBE was carried out for KRe after structural relaxation.

The structure in POSCAR format:
```
KRe
1.0
0.000 3.399 3.399
3.399 0.000 3.399
3.399 3.399 0.000
K Re
1 1
direct
0.000 0.000 0.000 K
0.500 0.500 0.500 Re
```

Results
- Relative energy among the computed polymorphs: 1755 meV per atom
- Total DFT energy (no corrections): -3.5837 eV/atom

A plane-wave DFT calculation with PBE was carried out for LuBeCuSn after structural relaxation.

The structure in POSCAR format:
```
LuBeCuSn
1.0
0.000 3.251 3.251
3.251 0.000 3.251
3.251 3.251 0.000
Be Cu Lu Sn
1 1 1 1
direct
0.250 0.250 0.250 Be
0.750 0.750 0.750 Cu
0.500 0.500 0.500 Lu
0.000 0.000 0.000 Sn
```

Results
- Relative energy among the computed polymorphs: 0 meV per atom
- Total DFT energy (no corrections): -4.0583 eV/atom

A plane-wave DFT calculation with PBE was carried out for GdPPbO after structural relaxation.

The structure in POSCAR format:
```
GdPPbO
1.0
-2.865 1.933 2.530
-0.001 -3.404 2.600
6.937 3.787 4.961
Gd O P Pb
2 2 2 2
direct
0.000 0.500 0.099 Gd
0.500 0.000 0.901 Gd
0.000 0.000 0.000 O
0.500 0.500 0.000 O
0.500 0.000 0.272 P
0.000 0.500 0.728 P
0.000 0.000 0.500 Pb
0.500 0.500 0.500 Pb
```

Results
- Relative energy among the computed polymorphs: 64 meV per atom
- Total DFT energy (no corrections): -6.0272 eV/atom

A plane-wave DFT calculation with PBE was carried out for HoErCd4 after structural relaxation.

The structure in POSCAR format:
```
HoErCd4
1.0
-0.162 -2.640 -2.119
-0.834 -3.013 3.818
-8.413 1.223 -0.872
Cd Er Ho
4 1 1
direct
0.494 0.500 0.166 Cd
0.506 0.000 0.333 Cd
0.494 0.000 0.667 Cd
0.506 0.500 0.834 Cd
0.000 0.000 0.000 Er
0.000 0.500 0.500 Ho
```

Results
- Total DFT energy (no corrections): -2.4345 eV/atom